1.
BaLa2Os PBE optimized geometry; ΔE_f = 0.584 eV/atom; DOS(E_F) = 1.566 states/eV per atom
1.0
7.6500 0.0000 0.0000
0.0000 7.6500 0.0000
0.0000 0.0000 7.6500
Ba La Os
4 8 4
direct
0.0000 0.0000 0.0000
0.0000 0.5000 0.5000
0.5000 0.0000 0.5000
0.5000 0.5000 0.0000
0.0000 0.0000 0.5000
0.0000 0.5000 0.0000
0.2500 0.2500 0.2500
0.2500 0.7500 0.7500
0.5000 0.0000 0.0000
0.5000 0.5000 0.5000
0.7500 0.2500 0.7500
0.7500 0.7500 0.2500
0.2500 0.2500 0.7500
0.2500 0.7500 0.2500
0.7500 0.2500 0.2500
0.7500 0.7500 0.7500

2.
Ba2TlAg PBE optimized geometry; ΔE_f = -0.160 eV/atom; DOS(E_F) = 0.243 states/eV per atom
1.0
8.0619 0.0000 0.0000
0.0000 8.0619 0.0000
0.0000 0.0000 8.0619
Ba Tl Ag
8 4 4
direct
0.0000 0.0000 0.0000
0.0000 0.5000 0.5000
0.2500 0.2500 0.2500
0.2500 0.7500 0.7500
0.5000 0.0000 0.5000
0.5000 0.5000 0.0000
0.7500 0.2500 0.7500
0.7500 0.7500 0.2500
0.2500 0.2500 0.7500
0.2500 0.7500 0.2500
0.7500 0.2500 0.2500
0.7500 0.7500 0.7500
0.0000 0.0000 0.5000
0.0000 0.5000 0.0000
0.5000 0.0000 0.0000
0.5000 0.5000 0.5000

3.
Ta2BeRe PBE optimized geometry; ΔE_f = -0.091 eV/atom; DOS(E_F) = 0.663 states/eV per atom
1.0
5.9925 0.0000 0.0000
0.0000 6.2415 0.0000
0.0000 0.0000 3.2936
Ta Be Re
4 2 2
direct
0.2500 0.2500 0.0000
0.2500 0.7500 0.0000
0.7500 0.2500 0.0000
0.7500 0.7500 0.0000
0.0000 0.0000 0.5000
0.5000 0.5000 0.5000
0.0000 0.5000 0.5000
0.5000 0.0000 0.5000

4.
Y5Sc12Al3 PBE optimized geometry; ΔE_f = 0.873 eV/atom; DOS(E_F) = 1.871 states/eV per atom
1.0
-8.6760 8.6760 8.6760
8.6760 -8.6760 8.6760
8.6760 8.6760 -8.6760
Y Sc Al
20 48 12
direct
0.0000 0.0000 0.0000
0.0000 0.0000 0.5000
0.0000 0.5000 0.0000
0.0000 0.5000 0.5000
0.1250 0.7500 0.8750
0.1250 0.8750 0.2500
0.2500 0.1250 0.8750
0.2500 0.6250 0.3750
0.3750 0.2500 0.6250
0.3750 0.6250 0.7500
0.5000 0.0000 0.0000
0.5000 0.0000 0.5000
0.5000 0.5000 0.0000
0.5000 0.5000 0.5000
0.6250 0.3750 0.2500
0.6250 0.7500 0.3750
0.7500 0.3750 0.6250
0.7500 0.8750 0.1250
0.8750 0.1250 0.7500
0.8750 0.2500 0.1250
0.0688 0.6565 0.4227
0.0688 0.9123 0.6461
0.0773 0.7337 0.6461
0.0773 0.8435 0.4312
0.0877 0.2337 0.1565
0.0877 0.3539 0.9312
0.1461 0.2337 0.5773
0.1461 0.4123 0.5688
0.1565 0.0877 0.2337
0.1565 0.5688 0.9227
0.2337 0.1565 0.0877
0.2337 0.5773 0.1461
0.2663 0.3539 0.9227
0.2663 0.4123 0.3435
0.3435 0.2663 0.4123
0.3435 0.5773 0.9312
0.3539 0.9227 0.2663
0.3539 0.9312 0.0877
0.4123 0.3435 0.2663
0.4123 0.5688 0.1461
0.4227 0.0688 0.6565
0.4227 0.8539 0.7663
0.4312 0.0773 0.8435
0.4312 0.8539 0.5877
0.5688 0.1461 0.4123
0.5688 0.9227 0.1565
0.5773 0.1461 0.2337
0.5773 0.9312 0.3435
0.5877 0.4312 0.8539
0.5877 0.6565 0.7337
0.6461 0.0688 0.9123
0.6461 0.0773 0.7337
0.6565 0.4227 0.0688
0.6565 0.7337 0.5877
0.7337 0.5877 0.6565
0.7337 0.6461 0.0773
0.7663 0.4227 0.8539
0.7663 0.8435 0.9123
0.8435 0.4312 0.0773
0.8435 0.9123 0.7663
0.8539 0.5877 0.4312
0.8539 0.7663 0.4227
0.9123 0.6461 0.0688
0.9123 0.7663 0.8435
0.9227 0.1565 0.5688
0.9227 0.2663 0.3539
0.9312 0.0877 0.3539
0.9312 0.3435 0.5773
0.1250 0.2500 0.3750
0.1250 0.3750 0.7500
0.2500 0.3750 0.1250
0.2500 0.8750 0.6250
0.3750 0.1250 0.2500
0.3750 0.7500 0.1250
0.6250 0.2500 0.8750
0.6250 0.8750 0.7500
0.7500 0.1250 0.3750
0.7500 0.6250 0.8750
0.8750 0.6250 0.2500
0.8750 0.7500 0.6250

5.
Sn3Pt12Rh PBE optimized geometry; ΔE_f = -0.267 eV/atom; DOS(E_F) = 1.018 states/eV per atom
1.0
4.0301 0.0000 0.0000
0.0000 4.0301 0.0000
0.0000 0.0000 16.1364
Sn Pt Rh
3 12 1
direct
0.0000 0.0000 0.0000
0.0000 0.0000 0.2556
0.0000 0.0000 0.7444
0.0000 0.5000 0.1270
0.0000 0.5000 0.3793
0.0000 0.5000 0.6207
0.0000 0.5000 0.8730
0.5000 0.0000 0.1270
0.5000 0.0000 0.3793
0.5000 0.0000 0.6207
0.5000 0.0000 0.8730
0.5000 0.5000 0.0000
0.5000 0.5000 0.2524
0.5000 0.5000 0.5000
0.5000 0.5000 0.7476
0.0000 0.0000 0.5000

Number 1: DFT total energy -82.7 eV/cell. Number 2: DFT total energy -38.8 eV/cell. Number 3: DFT total energy -80.5 eV/cell. Number 4: DFT total energy -408.3 eV/cell. Number 5: DFT total energy -96.1 eV/cell.